Entry 1:
# AcPm2Ta

A relaxed AcPm2Ta crystal (PBE-GGA, the Alexandria database).

Calculated values
Theoretical density: 9.2 g cm⁻³
Symmetry: R-3m, No. 166
Formation enthalpy at 0 K: 0.79 eV per atom
Size of the total moment: 0.00 μB/f.u.
Calculated total energy: -66.90 eV for the cell shown
DOS at the Fermi energy: 7.488 states/eV/f.u.

a = 3.432 Å, b = 3.432 Å, c = 36.923 Å
α = 90.00°, β = 90.00°, γ = 120.00°
Element x y z (fractional)
Ac 0.000 0.000 0.000
Ac 0.333 0.667 0.667
Ac 0.667 0.333 0.333
Pm 0.000 0.000 0.421
Pm 0.000 0.000 0.579
Pm 0.333 0.667 0.088
Pm 0.333 0.667 0.246
Pm 0.667 0.333 0.754
Pm 0.667 0.333 0.912
Ta 0.000 0.000 0.500
Ta 0.333 0.667 0.167
Ta 0.667 0.333 0.833

***

Entry 2:
# La4Sm3Sn4

A relaxed La4Sm3Sn4 crystal (PBE-GGA, the Alexandria database).

Calculated values
Theoretical density: 7.0 g cm⁻³
Symmetry: Immm, No. 71
Formation enthalpy at 0 K: -0.60 eV per atom
Size of the total moment: 0.00 μB/f.u.
Calculated total energy: -56.43 eV for the cell shown
DOS at the Fermi energy: 8.736 states/eV/f.u.

a = 11.014 Å, b = 11.014 Å, c = 11.014 Å
α = 160.47°, β = 128.33°, γ = 55.76°
Element x y z (fractional)
La 0.003 0.835 0.168
La 0.334 0.165 0.168
La 0.666 0.835 0.832
La 0.997 0.165 0.832
Sm 0.000 0.500 0.500
Sm 0.411 0.411 0.000
Sm 0.589 0.589 0.000
Sn 0.276 0.000 0.276
Sn 0.280 0.780 0.500
Sn 0.720 0.220 0.500
Sn 0.724 0.000 0.724

***

Entry 3:
# KAlRu2O8

A relaxed KAlRu2O8 crystal (PBE-GGA, the Alexandria database).

Calculated values
Formation energy from raw total energies: -1.30 eV/atom
Theoretical density: 3.4 g cm⁻³
Symmetry: C2/m, No. 12
Size of the total moment: 4.05 μB/f.u.
Calculated total energy: -78.69 eV for the cell shown
DOS at the Fermi energy: 1.501 states/eV/f.u.

a = 5.178 Å, b = 5.178 Å, c = 7.926 Å
α = 93.87°, β = 93.87°, γ = 66.02°
Element x y z (fractional)
K 0.000 0.000 0.000
Al 0.000 0.000 0.500
Ru 0.374 0.374 0.703
Ru 0.626 0.626 0.297
O 0.218 0.218 0.539
O 0.221 0.753 0.675
O 0.247 0.779 0.325
O 0.311 0.311 0.907
O 0.689 0.689 0.093
O 0.753 0.221 0.675
O 0.779 0.247 0.325
O 0.782 0.782 0.461